## P
{"formula": "Mg2CrTc", "functional": "GGA-PBE", "state": "relaxed", "space_group": "No. 123", "lattice_angstrom": [[4.4870, 0.0000, 0.0000], [0.0000, 3.7741, 0.0000], [0.0000, 0.0000, 3.7741]], "species": ["Cr", "Mg", "Mg", "Tc"], "frac_coords": [[0.5000, 0.0000, 0.5000], [0.0000, 0.0000, 0.0000], [0.0000, 0.5000, 0.5000], [0.5000, 0.5000, 0.0000]]}

## Q
{"formula": "Mg2CrTc", "functional": "GGA-PBE", "state": "relaxed", "space_group": "No. 35", "lattice_angstrom": [[2.7897, 0.0035, 0.0000], [-1.0657, 2.5781, 0.0000], [0.0000, 0.0000, 9.1607]], "species": ["Cr", "Mg", "Mg", "Tc"], "frac_coords": [[0.5000, 0.5000, 0.7253], [0.0000, 0.0000, 0.9757], [0.5000, 0.5000, 0.2718], [0.0000, 0.0000, 0.5272]]}

## R
{"formula": "Mg2CrTc", "functional": "GGA-PBE", "state": "relaxed", "space_group": "No. 12", "lattice_angstrom": [[-3.7730, -2.6893, -2.5022], [5.0577, -1.1980, -0.8446], [0.0742, -2.1510, 1.5396]], "species": ["Cr", "Mg", "Mg", "Tc"], "frac_coords": [[0.0000, 0.5000, 0.5000], [0.0000, 0.0000, 0.0000], [0.5000, 0.5000, 0.0000], [0.5000, 0.0000, 0.5000]]}

Which structure is most stable? Q, by 0.115 eV/atom over the runner-up.

## P
{"formula": "MgCr3Tc", "functional": "GGA-PBE", "state": "relaxed", "space_group": "No. 221", "lattice_angstrom": [[-0.9502, 3.9480, -2.2858], [-3.9294, 0.4779, 2.4588], [2.3176, 2.4289, 3.2317]], "species": ["Cr", "Cr", "Cr", "Mg", "Tc"], "frac_coords": [[0.0000, 0.5000, 0.0000], [0.0000, 0.0000, 0.5000], [0.5000, 0.0000, 0.0000], [0.5000, 0.5000, 0.5000], [0.0000, 0.0000, 0.0000]]}

## Q
{"formula": "MgCr3Tc", "functional": "GGA-PBE", "state": "relaxed", "space_group": "No. 221", "lattice_angstrom": [[-3.9038, 1.9429, -1.2432], [0.0943, -2.3075, -3.9021], [-2.3047, -3.3853, 1.9463]], "species": ["Cr", "Cr", "Cr", "Mg", "Tc"], "frac_coords": [[0.0000, 0.5000, 0.0000], [0.0000, 0.0000, 0.5000], [0.5000, 0.0000, 0.0000], [0.0000, 0.0000, 0.0000], [0.5000, 0.5000, 0.5000]]}

Which structure is most stable? P, by 0.953 eV/atom over the runner-up.